(1)
! MgIn4Au5 (GGA-PBE, optimized geometry); values from VASP
&SYSTEM
  ibrav = 0, nat = 10, ntyp = 3
/
ATOMIC_SPECIES
In 114.82 In.upf
Au 196.97 Au.upf
Mg 24.30 Mg.upf
ATOMIC_POSITIONS angstrom
In 5.3575 0.4000 7.2379
In 2.4780 3.2840 2.5039
In 4.8349 5.3470 4.4274
In 7.8422 2.6687 9.1810
Au 2.1192 0.3920 1.4430
Au 5.0414 2.5814 3.7417
Au 5.1830 3.1867 7.8844
Au 2.6190 -0.1118 6.0256
Au 3.2396 6.0637 2.1046
Mg 4.1766 -0.0495 3.3914
CELL_PARAMETERS angstrom
4.6294 -0.0399 3.3206
2.9442 7.8618 -0.1127
2.5824 -1.8765 8.3707
! DFT formation energy: -22.2 kJ per mole of atoms
! VASP energy: -3.124 eV per atom
! N(E_F): 3.1 states/eV/f.u.

(2)
! P2PdRuO (GGA-PBE, optimized geometry); values from VASP
&SYSTEM
  ibrav = 0, nat = 5, ntyp = 4
/
ATOMIC_SPECIES
Ru 101.07 Ru.upf
P 30.97 P.upf
O 16.00 O.upf
Pd 106.42 Pd.upf
ATOMIC_POSITIONS angstrom
Ru 0.0000 0.0000 0.0000
P -1.1103 -2.0891 -0.0006
P -2.0768 1.1036 0.2576
O 0.1733 -0.0926 1.7938
Pd -3.0138 -1.0782 2.0507
CELL_PARAMETERS angstrom
-4.1535 2.2072 0.5152
-2.2206 -4.1783 -0.0013
0.3465 -0.1852 3.5875
! formation energy (no corrections): 0.161 eV per atom
! VASP energy: -5.888 eV per atom
! N(E_F): 3.1 states/eV/f.u.
! energy above the most stable polymorph in this dataset: 0 meV per atom

(3)
! Sc3PRh (GGA-PBE, optimized geometry); values from VASP
&SYSTEM
  ibrav = 0, nat = 5, ntyp = 3
/
ATOMIC_SPECIES
P 30.97 P.upf
Rh 102.91 Rh.upf
Sc 44.96 Sc.upf
ATOMIC_POSITIONS angstrom
P 2.4597 2.4597 2.4597
Rh 0.0000 0.0000 0.0000
Sc 2.4597 0.0000 0.0000
Sc 0.0000 0.0000 2.4597
Sc 0.0000 2.4597 0.0000
CELL_PARAMETERS angstrom
4.9195 0.0000 0.0000
0.0000 4.9195 0.0000
0.0000 0.0000 4.9195
! DFT formation energy: -18.6 kJ per mole of atoms
! VASP energy: -6.544 eV per atom
! N(E_F): 6.6 states/eV/f.u.
! energy above the most stable polymorph in this dataset: 154 meV per atom

(4)
! Cr2NiRh3 (GGA-PBE, optimized geometry); values from VASP
&SYSTEM
  ibrav = 0, nat = 12, ntyp = 3
/
ATOMIC_SPECIES
Cr 52.00 Cr.upf
Rh 102.91 Rh.upf
Ni 58.69 Ni.upf
ATOMIC_POSITIONS angstrom
Cr -2.6733 1.9490 2.0864
Cr -6.0216 2.6713 4.8243
Cr -0.8373 0.2268 0.8286
Cr -4.1856 0.9491 3.5665
Rh -1.7716 1.2955 4.2966
Rh -3.0311 1.1972 -0.2058
Rh -1.2395 3.3215 6.1584
Rh -5.6194 -0.4234 -0.5055
Rh -5.0873 1.6026 1.3563
Rh -3.8278 1.7009 5.8587
Ni -6.6058 0.7286 3.2297
Ni -0.2531 2.1695 2.4232
CELL_PARAMETERS angstrom
-0.1182 2.5415 -0.8151
-7.1525 -0.9725 -1.9953
0.4118 1.3291 8.4632
! DFT formation energy: 9.8 kJ per mole of atoms
! VASP energy: -7.746 eV per atom
! N(E_F): 7.0 states/eV/f.u.
! energy above the most stable polymorph in this dataset: 0 meV per atom

(5)
! Tb4Pm2YHo2 (GGA-PBE, optimized geometry); values from VASP
&SYSTEM
  ibrav = 0, nat = 9, ntyp = 4
/
ATOMIC_SPECIES
Ho 164.93 Ho.upf
Y 88.91 Y.upf
Pm 145.00 Pm.upf
Tb 158.93 Tb.upf
ATOMIC_POSITIONS angstrom
Ho 0.0000 2.4974 7.5874
Ho 2.5250 2.5361 0.0121
Y 0.0000 0.0000 0.0000
Pm 0.0000 -0.0107 5.0540
Pm 2.5250 5.0441 2.5455
Tb 0.0000 2.5172 2.5270
Tb 2.5250 0.0017 2.5223
Tb 0.0000 5.0317 5.0772
Tb 2.5250 2.5162 5.0725
CELL_PARAMETERS angstrom
5.0499 0.0000 0.0000
-2.5250 7.5897 0.0274
0.0000 -2.5563 7.5721
! DFT formation energy: 1.8 kJ per mole of atoms
! VASP energy: -4.831 eV per atom
! N(E_F): 12.7 states/eV/f.u.

(6)
! Er4Te2PdSe (GGA-PBE, optimized geometry); values from VASP
&SYSTEM
  ibrav = 0, nat = 8, ntyp = 4
/
ATOMIC_SPECIES
Pd 106.42 Pd.upf
Er 167.26 Er.upf
Te 127.60 Te.upf
Se 78.96 Se.upf
ATOMIC_POSITIONS angstrom
Pd -3.3849 1.8508 -1.7115
Er -2.5317 1.0501 0.8982
Er -6.6462 -0.8001 1.7744
Er -3.4134 -2.6883 3.4449
Er -4.4793 -0.6380 -2.2899
Te -1.8466 0.0623 3.8065
Te -3.9464 -1.6631 0.5775
Se 0.0000 0.0000 0.0000
CELL_PARAMETERS angstrom
-1.2851 3.5762 1.5175
-5.4847 0.1254 -4.9404
-2.4081 -3.4517 6.0955
! formation energy (no corrections): -1.267 eV per atom
! VASP energy: -5.419 eV per atom
! N(E_F): 4.6 states/eV/f.u.